# 1
Compound: CeSb2Pb
Source: the Alexandria database
Functional: PBE
Structure: optimized geometry

Geometry as POSCAR:
```
CeSb2Pb
1.0
-2.998 -2.412 2.285
-1.272 -2.010 -3.790
7.929 -8.240 1.707
Pb Ce Sb
2 2 4
Direct
0.500 0.500 0.000
0.000 0.000 0.000
0.000 0.500 0.285
0.500 0.000 0.715
0.000 0.500 0.763
0.500 0.000 0.237
0.500 0.500 0.500
0.000 0.000 0.500
```

The uncorrected formation energy is -0.54 eV per atom. The spin magnetization comes out at 0.37 μB/f.u. As for the space group: P4/nmm (129).

# 2
Compound: Ce5Sb2Pb
Source: the Alexandria database
Functional: PBE
Structure: optimized geometry

Geometry as POSCAR:
```
Ce5Sb2Pb
1.0
5.435 0.000 0.000
-2.718 5.054 0.000
0.000 0.000 17.488
Sb Ce Pb
4 10 2
Direct
0.768 0.535 0.429
0.232 0.465 0.571
0.768 0.535 0.071
0.232 0.465 0.929
0.086 0.172 0.401
0.762 0.525 0.250
0.556 0.112 0.932
0.914 0.828 0.599
0.444 0.888 0.432
0.444 0.888 0.068
0.086 0.172 0.099
0.238 0.475 0.750
0.556 0.112 0.568
0.914 0.828 0.901
0.440 0.881 0.250
0.560 0.119 0.750
```

The uncorrected formation energy is -0.51 eV per atom. The spin magnetization comes out at 4.23 μB/f.u. As for the space group: Cmcm (63).

# 3
Compound: Ce4SbPb2
Source: the Alexandria database
Functional: PBE
Structure: optimized geometry

Geometry as POSCAR:
```
Ce4SbPb2
1.0
-1.026 4.951 6.577
-1.847 -7.800 2.136
5.001 -2.516 6.122
Pb Ce Sb
4 8 2
Direct
0.127 0.502 0.125
0.627 0.125 0.748
0.373 0.625 0.502
0.873 0.748 0.625
0.106 0.224 0.524
0.752 0.026 0.368
0.252 0.882 0.224
0.894 0.370 0.882
0.606 0.726 0.026
0.248 0.880 0.726
0.748 0.524 0.370
0.394 0.368 0.880
0.500 0.250 0.250
0.000 0.000 0.000
```

The uncorrected formation energy is -0.55 eV per atom. The spin magnetization comes out at 5.02 μB/f.u. As for the space group: I-42d (122).

# 4
Compound: Ce4SbPb2
Source: the Alexandria database
Functional: PBE
Structure: optimized geometry

Geometry as POSCAR:
```
Ce4SbPb2
1.0
6.163 0.000 -0.171
0.000 6.579 0.000
-2.196 0.000 10.592
Ce Pb Sb
8 4 2
Direct
0.835 0.250 0.541
0.440 0.460 0.733
0.028 0.750 0.866
0.165 0.750 0.459
0.440 0.040 0.733
0.560 0.540 0.267
0.972 0.250 0.134
0.560 0.960 0.267
0.574 0.750 0.989
0.426 0.250 0.011
0.722 0.750 0.566
0.278 0.250 0.434
0.945 0.250 0.832
0.055 0.750 0.168
```

The uncorrected formation energy is -0.42 eV per atom. The spin magnetization comes out at 5.00 μB/f.u. As for the space group: P2_1/m (11).